Computed, not measured: an optimized crystal structure of Pm8YHo4 at the PBE level of DFT.

```
Pm8YHo4
1.0
3.645 2.105 9.501
-3.645 2.105 9.501
0.000 -4.209 9.501
Pm Y Ho
8 1 4
direct
0.202 0.752 0.752
0.213 0.213 0.213
0.248 0.248 0.798
0.248 0.798 0.248
0.752 0.202 0.752
0.752 0.752 0.202
0.787 0.787 0.787
0.798 0.248 0.248
0.500 0.500 0.500
0.000 0.000 0.000
0.000 0.500 0.500
0.500 0.000 0.500
0.500 0.500 0.000
```

For the total magnetization, the calculation gives 0.000 μB per cell. As for the formation energy from the elements: 199.6 meV per atom.